Record 1
Compound: MgSn3Rh
Source: Alexandria
Functional: GGA-PBE
Structure: relaxed Values from VASP.

Computed properties:
Its energy of formation from the pure elements is -269.1 meV/atom. The value obtained for the magnetization is 0.0 Bohr magnetons per cell.

Cell and atoms, written as Quantum ESPRESSO input:
```
&SYSTEM
  ibrav = 0, nat = 10, ntyp = 3
/
ATOMIC_SPECIES
Mg 24.30 Mg.upf
Sn 118.71 Sn.upf
Rh 102.91 Rh.upf
CELL_PARAMETERS angstrom
5.004 -4.322 0.000
5.004 4.322 0.000
-3.893 0.000 5.425
ATOMIC_POSITIONS crystal
Mg 0.057 0.057 0.255
Mg 0.943 0.943 0.745
Sn 0.002 0.601 0.259
Sn 0.399 0.998 0.741
Sn 0.413 0.413 0.644
Sn 0.587 0.587 0.356
Sn 0.601 0.002 0.259
Sn 0.998 0.399 0.741
Rh 0.262 0.262 0.117
Rh 0.738 0.738 0.883
```

=====

Record 2
Compound: Mg4SnRh2
Source: Alexandria
Functional: GGA-PBE
Structure: relaxed Values from VASP.

Computed properties:
Its energy of formation from the pure elements is -15.2 meV/atom. The value obtained for the magnetization is 0.0 Bohr magnetons per cell.

Cell and atoms, written as Quantum ESPRESSO input:
```
&SYSTEM
  ibrav = 0, nat = 7, ntyp = 3
/
ATOMIC_SPECIES
Mg 24.30 Mg.upf
Sn 118.71 Sn.upf
Rh 102.91 Rh.upf
CELL_PARAMETERS angstrom
10.892 -1.890 0.000
10.892 1.890 0.000
-0.652 0.000 3.726
ATOMIC_POSITIONS crystal
Mg 0.133 0.133 0.134
Mg 0.250 0.250 0.750
Mg 0.750 0.750 0.250
Mg 0.867 0.867 0.866
Sn 0.000 0.000 0.000
Rh 0.340 0.340 0.340
Rh 0.660 0.660 0.660
```

=====

Record 3
Compound: Mg6SnRh2
Source: Alexandria
Functional: GGA-PBE
Structure: relaxed Values from VASP.

Computed properties:
Its energy of formation from the pure elements is -85.4 meV/atom. The value obtained for the magnetization is 0.0 Bohr magnetons per cell.

Cell and atoms, written as Quantum ESPRESSO input:
```
&SYSTEM
  ibrav = 0, nat = 9, ntyp = 3
/
ATOMIC_SPECIES
Mg 24.30 Mg.upf
Sn 118.71 Sn.upf
Rh 102.91 Rh.upf
CELL_PARAMETERS angstrom
4.852 0.000 0.000
0.000 4.852 0.000
0.000 0.000 8.103
ATOMIC_POSITIONS crystal
Mg 0.000 0.000 0.000
Mg 0.000 0.500 0.251
Mg 0.000 0.500 0.749
Mg 0.500 0.000 0.251
Mg 0.500 0.000 0.749
Mg 0.500 0.500 0.000
Sn 0.000 0.000 0.500
Rh 0.500 0.500 0.345
Rh 0.500 0.500 0.655
```

=====

Record 4
Compound: Mg7SnRh4
Source: Alexandria
Functional: GGA-PBE
Structure: relaxed Values from VASP.

Computed properties:
Its energy of formation from the pure elements is -131.5 meV/atom. The value obtained for the magnetization is 0.0 Bohr magnetons per cell.

Cell and atoms, written as Quantum ESPRESSO input:
```
&SYSTEM
  ibrav = 0, nat = 12, ntyp = 3
/
ATOMIC_SPECIES
Mg 24.30 Mg.upf
Sn 118.71 Sn.upf
Rh 102.91 Rh.upf
CELL_PARAMETERS angstrom
6.263 -2.454 0.000
6.263 2.454 0.000
-5.446 0.000 7.465
ATOMIC_POSITIONS crystal
Mg 0.000 0.000 0.000
Mg 0.179 0.179 0.619
Mg 0.281 0.281 0.130
Mg 0.432 0.432 0.628
Mg 0.568 0.568 0.372
Mg 0.719 0.719 0.870
Mg 0.821 0.821 0.381
Sn 0.500 0.500 0.000
Rh 0.068 0.068 0.782
Rh 0.190 0.190 0.343
Rh 0.810 0.810 0.657
Rh 0.932 0.932 0.218
```

=====

Record 5
Compound: Mg2SnRh4
Source: Alexandria
Functional: GGA-PBE
Structure: relaxed Values from VASP.

Computed properties:
Its energy of formation from the pure elements is -211.1 meV/atom. The value obtained for the magnetization is 0.0 Bohr magnetons per cell.

Cell and atoms, written as Quantum ESPRESSO input:
```
&SYSTEM
  ibrav = 0, nat = 7, ntyp = 3
/
ATOMIC_SPECIES
Mg 24.30 Mg.upf
Sn 118.71 Sn.upf
Rh 102.91 Rh.upf
CELL_PARAMETERS angstrom
-3.100 3.100 3.063
3.100 -3.100 3.063
3.100 3.100 -3.063
ATOMIC_POSITIONS crystal
Mg 0.000 0.500 0.500
Mg 0.500 0.000 0.500
Sn 0.000 0.000 0.000
Rh 0.000 0.000 0.500
Rh 0.000 0.500 0.000
Rh 0.500 0.000 0.000
Rh 0.500 0.500 0.500
```

=====

Record 6
Compound: Mg5SnRh2
Source: Alexandria
Functional: GGA-PBE
Structure: relaxed Values from VASP.

Computed properties:
Its energy of formation from the pure elements is -296.3 meV/atom. The value obtained for the magnetization is 0.0 Bohr magnetons per cell.

Cell and atoms, written as Quantum ESPRESSO input:
```
&SYSTEM
  ibrav = 0, nat = 8, ntyp = 3
/
ATOMIC_SPECIES
Mg 24.30 Mg.upf
Sn 118.71 Sn.upf
Rh 102.91 Rh.upf
CELL_PARAMETERS angstrom
-2.259 4.105 4.241
2.259 -4.105 4.241
2.259 4.105 -4.241
ATOMIC_POSITIONS crystal
Mg 0.000 0.000 0.000
Mg 0.011 0.683 0.328
Mg 0.355 0.683 0.672
Mg 0.645 0.317 0.328
Mg 0.989 0.317 0.672
Sn 0.500 0.000 0.500
Rh 0.323 0.323 0.000
Rh 0.677 0.677 0.000
```

=====

Record 7
Compound: Mg2SnRh3
Source: Alexandria
Functional: GGA-PBE
Structure: relaxed Values from VASP.

Computed properties:
Its energy of formation from the pure elements is -612.0 meV/atom. The value obtained for the magnetization is 0.0 Bohr magnetons per cell.

Cell and atoms, written as Quantum ESPRESSO input:
```
&SYSTEM
  ibrav = 0, nat = 6, ntyp = 3
/
ATOMIC_SPECIES
Mg 24.30 Mg.upf
Sn 118.71 Sn.upf
Rh 102.91 Rh.upf
CELL_PARAMETERS angstrom
2.228 -6.663 0.000
2.228 6.663 0.000
0.000 0.000 3.178
ATOMIC_POSITIONS crystal
Mg 0.170 0.830 0.000
Mg 0.830 0.170 0.000
Sn 0.500 0.500 0.000
Rh 0.000 0.000 0.500
Rh 0.336 0.664 0.500
Rh 0.664 0.336 0.500
```

=====

Record 8
Compound: MgSn2Rh
Source: Alexandria
Functional: GGA-PBE
Structure: relaxed Values from VASP.

Computed properties:
Its energy of formation from the pure elements is -170.8 meV/atom. The value obtained for the magnetization is 0.0 Bohr magnetons per cell.

Cell and atoms, written as Quantum ESPRESSO input:
```
&SYSTEM
  ibrav = 0, nat = 8, ntyp = 3
/
ATOMIC_SPECIES
Mg 24.30 Mg.upf
Sn 118.71 Sn.upf
Rh 102.91 Rh.upf
CELL_PARAMETERS angstrom
-4.396 4.396 2.564
4.396 -4.396 2.564
4.396 4.396 -2.564
ATOMIC_POSITIONS crystal
Mg 0.000 0.000 0.000
Mg 0.750 0.250 0.500
Sn 0.228 0.125 0.603
Sn 0.375 0.772 0.897
Sn 0.522 0.625 0.397
Sn 0.875 0.478 0.103
Rh 0.250 0.750 0.500
Rh 0.500 0.500 0.000
```